# SmLu2Pa, relaxed, DFT PBE
data_SmLu2Pa
_chemical_formula_sum 'Sm1 Lu2 Pa1'
_space_group_name_H-M_alt 'P 4/m m m'
_space_group_IT_number 123
_space_group_name_Hall '-P 4 2'
_cell_length_a 5.7072
_cell_length_b 5.7072
_cell_length_c 3.5724
_cell_angle_alpha 90.00
_cell_angle_beta 90.00
_cell_angle_gamma 90.00
loop_
_atom_site_label
_atom_site_fract_x
_atom_site_fract_y
_atom_site_fract_z
Sm1 0.0000 0.0000 0.0000
Lu1 0.0000 0.5000 0.5000
Pa1 0.5000 0.5000 0.0000
# Magnetization ... 0.077 μB per atom
# Formation energy ... 269 meV per atom
# DOS at the Fermi energy ... 7.380 states/eV/f.u.
# Volume ... 29.09 A^3/atom



# Ac2HoMg3, relaxed, DFT PBE
data_Ac2HoMg3
_chemical_formula_sum 'Ac2 Ho1 Mg3'
_space_group_name_H-M_alt 'P 4/m m m'
_space_group_IT_number 123
_space_group_name_Hall '-P 4 2'
_cell_length_a 3.9926
_cell_length_b 3.9926
_cell_length_c 12.0777
_cell_angle_alpha 90.00
_cell_angle_beta 90.00
_cell_angle_gamma 90.00
loop_
_atom_site_label
_atom_site_fract_x
_atom_site_fract_y
_atom_site_fract_z
Ac1 0.0000 0.0000 0.1779
Ho1 0.0000 0.0000 0.5000
Mg1 0.5000 0.5000 0.0000
Mg2 0.5000 0.5000 0.3588
# Magnetization ... 0.000 μB per atom
# Formation energy ... -63 meV per atom
# DOS at the Fermi energy ... 6.883 states/eV/f.u.
# Volume ... 32.09 A^3/atom